(1)
This record from Alexandria describes a relaxed structure of Rb3BeI. The functional is GGA-PBE.

Lattice parameters (Å, degrees): 6.615 6.615 6.615 90.00 90.00 90.00
Space group Pm-3m (No. 221)
Unique sites:
Rb  0.000  0.000  0.500
Be  0.000  0.000  0.000
I  0.500  0.500  0.500

Density of states at the Fermi level in states/eV/f.u.: 4.7
Relative energy among the computed polymorphs in meV/atom: 0.0

(2)
This record from Alexandria describes a relaxed structure of Tl2AgTe2Se4. The functional is GGA-PBE.

Lattice parameters (Å, degrees): 15.795 4.703 8.984 90.00 119.62 90.00
Space group C2/m (No. 12)
Unique sites:
Tl  0.108  0.000  0.248
Ag  0.000  0.000  0.500
Te  0.202  0.500  0.867
Se  0.047  0.500  0.897
Se  0.181  0.000  0.654

Density of states at the Fermi level in states/eV/f.u.: 3.4
DFT total energy in eV/atom: -3.150

(3)
This record from Alexandria describes a relaxed structure of NiI. The functional is GGA-PBE.

Lattice parameters (Å, degrees): 7.165 7.165 7.165 90.00 90.00 90.00
Space group Pm-3n (No. 223)
Unique sites:
Ni  0.000  0.250  0.500
I  0.000  0.500  0.250

Density of states at the Fermi level in states/eV/f.u.: 2.6
DFT total energy in eV/atom: -3.432

(4)
This record from Alexandria describes a relaxed structure of Dy4YTmS8. The functional is GGA-PBE.

Lattice parameters (Å, degrees): 8.0305 8.0305 19.6714 90.00 90.00 120.00
Space group R3m (No. 160, hexagonal axes)
Unique sites:
Dy  0.0000  0.0000  0.0000
Dy  0.1671  0.3342  0.2082
Y  0.0000  0.0000  0.3753
Tm  0.0000  0.0000  0.7498
S  0.0000  0.0000  0.1327
S  0.0000  0.0000  0.6187
S  0.0157  0.5078  0.1273
S  0.1766  0.3532  0.9555

Density of states at the Fermi level in states/eV/f.u.: 8.3
DFT total energy in eV/atom: -6.388

(5)
This record from Alexandria describes a relaxed structure of UAgTeSe. The functional is GGA-PBE.

Lattice parameters (Å, degrees): 4.6748 4.6748 34.9223 90.00 90.00 120.00
Space group R-3m (No. 166, hexagonal axes)
Unique sites:
U  0.0000  0.0000  0.1102
Ag  0.0000  0.0000  0.3063
Te  0.0000  0.0000  0.3895
Se  0.0000  0.0000  0.1961

Density of states at the Fermi level in states/eV/f.u.: 8.0
DFT total energy in eV/atom: -5.729

(6)
This record from Alexandria describes a relaxed structure of HfTaMnV. The functional is GGA-PBE.

Lattice parameters (Å, degrees): 6.336 6.336 6.336 90.00 90.00 90.00
Space group F-43m (No. 216)
Unique sites:
Hf  0.000  0.000  0.000
Ta  0.000  0.000  0.500
Mn  0.250  0.250  0.250
V  0.250  0.250  0.750

Density of states at the Fermi level in states/eV/f.u.: 4.4
Calculated formation energy in eV per atom: -0.01

(7)
This record from Alexandria describes a relaxed structure of Cd15Sn2Hg2. The functional is GGA-PBE.

Lattice parameters (Å, degrees): 10.3665 10.3665 15.2628 90.00 90.00 120.00
Space group R-3m (No. 166, hexagonal axes)
Unique sites:
Cd  0.0000  0.3443  0.0000
Cd  0.0000  0.5000  0.5000
Cd  0.0098  0.5049  0.1710
Sn  0.0000  0.0000  0.0988
Hg  0.0000  0.0000  0.3307

Density of states at the Fermi level in states/eV/f.u.: 7.0
Calculated formation energy in eV per atom: 0.07

(8)
This record from Alexandria describes a relaxed structure of Mg4NiAu2. The functional is GGA-PBE.

Lattice parameters (Å, degrees): 4.5249 4.5249 21.9761 90.00 90.00 120.00
Space group R-3m (No. 166, hexagonal axes)
Unique sites:
Mg  0.0000  0.0000  0.1232
Mg  0.0000  0.0000  0.3741
Ni  0.0000  0.0000  0.5000
Au  0.0000  0.0000  0.2473

Density of states at the Fermi level in states/eV/f.u.: 1.2
Calculated formation energy in eV per atom: -0.43